No. 1
Material: MgCdIn2
Method: DFT, PBE
State: optimized geometry

Total energy   -7.8 eV per formula unit
ΔE_f   44 meV per atom

a b c (Å): 4.460 4.460 10.873
angles (deg): 78.17 78.17 90.00
Fractional positions:
Cd: 0.000 0.000 0.000
Cd: 0.750 0.250 0.500
In: 0.622 0.125 0.250
In: 0.875 0.872 0.750
In: 0.375 0.378 0.750
In: 0.128 0.625 0.250
Mg: 0.500 0.500 0.000
Mg: 0.250 0.750 0.500



No. 2
Material: Mg2Cd2In
Method: DFT, PBE
State: optimized geometry

E above lowest polymorph   13.6 meV per atom
Total energy   -7.9 eV per formula unit
ΔE_f   -24 meV per atom

a b c (Å): 6.987 5.048 8.481
angles (deg): 66.49 114.32 90.00
Fractional positions:
Mg: 0.520 0.431 0.712
Mg: 0.808 0.069 0.288
Mg: 0.480 0.569 0.288
Mg: 0.192 0.931 0.712
In: 0.334 0.250 0.000
In: 0.666 0.750 0.000
Cd: 0.077 0.524 0.353
Cd: 0.276 0.024 0.353
Cd: 0.724 0.976 0.647
Cd: 0.923 0.476 0.647



No. 3
Material: Mg3Cd2In
Method: DFT, PBE
State: optimized geometry

E above lowest polymorph   0.0 meV per atom
Total energy   -9.9 eV per formula unit
ΔE_f   -100 meV per atom

a b c (Å): 3.228 3.228 12.842
angles (deg): 90.00 90.00 90.00
Fractional positions:
In: 0.500 0.500 0.500
Cd: 0.500 0.500 0.838
Cd: 0.500 0.500 0.162
Mg: 0.000 0.000 0.674
Mg: 0.000 0.000 0.000
Mg: 0.000 0.000 0.326



No. 4
Material: Mg2Cd9In3
Method: DFT, PBE
State: optimized geometry

Total energy   -19.0 eV per formula unit
ΔE_f   45 meV per atom

a b c (Å): 4.705 10.165 10.165
angles (deg): 49.35 76.62 76.62
Fractional positions:
Cd: 0.715 0.619 0.952
Cd: 0.285 0.381 0.048
Cd: 0.120 0.117 0.642
Cd: 0.880 0.358 0.883
Cd: 0.000 0.500 0.500
Cd: 0.880 0.883 0.358
Cd: 0.120 0.642 0.117
Cd: 0.715 0.952 0.619
Cd: 0.285 0.048 0.381
Mg: 0.500 0.227 0.773
Mg: 0.500 0.773 0.227
In: 0.371 0.629 0.629
In: 0.629 0.371 0.371
In: 0.000 0.000 0.000



No. 5
Material: MgCd3In
Method: DFT, PBE
State: optimized geometry

E above lowest polymorph   0.0 meV per atom
Total energy   -6.9 eV per formula unit
ΔE_f   33 meV per atom

a b c (Å): 4.749 6.034 8.628
angles (deg): 90.00 90.00 90.00
Fractional positions:
In: 0.500 0.500 0.450
In: 0.000 0.000 0.550
Cd: 0.500 0.246 0.755
Cd: 0.000 0.254 0.245
Cd: 0.000 0.746 0.245
Cd: 0.500 0.500 0.092
Cd: 0.000 0.000 0.908
Cd: 0.500 0.754 0.755
Mg: 0.500 0.000 0.118
Mg: 0.000 0.500 0.882



No. 6
Material: MgCd6In8
Method: DFT, PBE
State: optimized geometry

Total energy   -27.9 eV per formula unit
ΔE_f   72 meV per atom

a b c (Å): 8.069 7.691 7.691
angles (deg): 120.00 90.00 90.00
Fractional positions:
Mg: 0.500 0.000 0.000
In: 0.846 0.019 0.260
In: 0.846 0.241 0.981
In: 0.154 0.759 0.019
In: 0.846 0.740 0.759
In: 0.154 0.981 0.740
In: 0.740 0.333 0.667
In: 0.154 0.260 0.241
In: 0.260 0.667 0.333
Cd: 0.608 0.679 0.106
Cd: 0.392 0.574 0.679
Cd: 0.608 0.426 0.321
Cd: 0.608 0.894 0.574
Cd: 0.392 0.106 0.426
Cd: 0.392 0.321 0.894